Record 1
First-principles (GGA-PBE) data for Li2TlTeO6 after structural relaxation, as listed in Alexandria.

Properties
ΔE_f (raw): -1.12 eV per atom

a = 5.3511 Å, b = 5.3511 Å, c = 14.2607 Å
α = 90.00°, β = 90.00°, γ = 120.00°
Space group R3 (No. 146, hexagonal axes)
Unique sites:
Li 0.0000 0.0000 0.0000 [3 per cell]
Li 0.0000 0.0000 0.4880 [3 per cell]
Tl 0.0000 0.0000 0.2763 [3 per cell]
Te 0.0000 0.0000 0.7847 [3 per cell]
O 0.0270 0.3484 0.3828 [9 per cell]
O 0.0552 0.6823 0.5381 [9 per cell]


Record 2
First-principles (GGA-PBE) data for VGeMo2H after structural relaxation, as listed in Alexandria.

Properties
Calculated total energy: -38.8 eV/cell

a = 4.143 Å, b = 4.143 Å, c = 3.588 Å
α = 90.00°, β = 90.00°, γ = 90.00°
Space group P4/mmm (No. 123)
Unique sites:
V 0.000 0.000 0.000 [1 per cell]
Ge 0.500 0.500 0.000 [1 per cell]
Mo 0.000 0.500 0.500 [2 per cell]
H 0.000 0.000 0.500 [1 per cell]


Record 3
First-principles (GGA-PBE) data for La2MnV2 after structural relaxation, as listed in Alexandria.

Properties
ΔE to the lowest computed polymorph: 0.543 eV/atom
Energy of formation from the pure elements: 5.00 eV/f.u.

a = 4.236 Å, b = 4.236 Å, c = 13.548 Å
α = 90.00°, β = 90.00°, γ = 90.00°
Space group I4/mmm (No. 139)
Unique sites:
La 0.000 0.500 0.250 [4 per cell]
Mn 0.000 0.000 0.000 [2 per cell]
V 0.000 0.000 0.432 [4 per cell]


Record 4
First-principles (GGA-PBE) data for Pa2CrPN5 after structural relaxation, as listed in Alexandria.

Properties
ΔE_f (raw): -0.55 eV per atom

a = 6.673 Å, b = 6.673 Å, c = 5.266 Å
α = 90.00°, β = 90.00°, γ = 90.00°
Space group P4/mbm (No. 127)
Unique sites:
Pa 0.184 0.316 0.000 [4 per cell]
Cr 0.000 0.000 0.500 [2 per cell]
P 0.000 0.500 0.500 [2 per cell]
N 0.000 0.000 0.000 [2 per cell]
N 0.129 0.629 0.264 [8 per cell]


What did the second record say?
First-principles (GGA-PBE) data for VGeMo2H after structural relaxation, as listed in Alexandria.

Properties
Calculated total energy: -38.8 eV/cell

a = 4.143 Å, b = 4.143 Å, c = 3.588 Å
α = 90.00°, β = 90.00°, γ = 90.00°
Space group P4/mmm (No. 123)
Unique sites:
V 0.000 0.000 0.000 [1 per cell]
Ge 0.500 0.500 0.000 [1 per cell]
Mo 0.000 0.500 0.500 [2 per cell]
H 0.000 0.000 0.500 [1 per cell]